No. 1
BiHC2Cl | the Alexandria database | PBE | optimized geometry; magnetization = 1.1 μB per cell; energy = -3.19 eV per atom; calculated volume = 69 Å³ per cell
1.0
3.836 0.000 0.000
0.000 4.713 0.000
0.000 0.000 3.836
H C Bi Cl
1 2 1 1
Direct
0.000 0.000 0.000 H
0.000 0.000 0.500 C
0.500 0.000 0.000 C
0.500 0.500 0.500 Bi
0.000 0.500 0.000 Cl

No. 2
Bi2HCCl | the Alexandria database | PBE | optimized geometry; magnetization = 0.0 μB per cell; energy = -3.13 eV per atom; calculated volume = 111 Å³ per cell
1.0
4.948 0.000 0.000
0.000 4.534 0.000
0.000 0.000 4.948
H C Bi Cl
1 1 2 1
Direct
0.500 0.500 0.500 H
0.000 0.000 0.000 C
0.000 0.000 0.500 Bi
0.500 0.000 0.000 Bi
0.000 0.500 0.000 Cl

No. 3
Ho3BiCCl | the Alexandria database | PBE | optimized geometry; ΔE_f (raw) = -808 meV per atom; magnetization = 1.2 μB per cell; calculated volume = 306 Å³ per cell
1.0
3.664 0.000 0.000
0.000 8.530 1.376
0.000 -2.886 9.333
Ho Bi C Cl
6 2 2 2
Direct
0.750 0.825 0.140 Ho
0.250 0.175 0.860 Ho
0.250 0.629 0.385 Ho
0.750 0.371 0.615 Ho
0.750 0.426 0.119 Ho
0.250 0.574 0.881 Ho
0.250 0.150 0.197 Bi
0.750 0.850 0.803 Bi
0.250 0.630 0.142 C
0.750 0.370 0.858 C
0.250 0.142 0.580 Cl
0.750 0.858 0.420 Cl

No. 4
BiC2ICl | the Alexandria database | PBE | optimized geometry; ΔE_f (raw) = 2158 meV per atom; magnetization = 2.3 μB per cell; calculated volume = 125 Å³ per cell
1.0
-4.591 1.638 -0.412
-0.990 -3.578 -3.186
-1.463 -3.108 3.944
I C Bi Cl
1 2 1 1
Direct
0.500 0.500 0.500 I
0.000 0.500 0.000 C
0.500 0.000 0.000 C
0.000 0.000 0.000 Bi
0.000 0.000 0.500 Cl

No. 5
LaBiCCl2 | the Alexandria database | PBE | optimized geometry; ΔE_f (raw) = 391 meV per atom; magnetization = 1.0 μB per cell; calculated volume = 198 Å³ per cell
1.0
5.365 0.000 0.000
0.000 6.887 0.000
0.000 0.000 5.365
C Cl Bi La
1 2 1 1
Direct
0.500 0.500 0.500 C
0.000 0.000 0.500 Cl
0.500 0.000 0.000 Cl
0.000 0.500 0.000 Bi
0.000 0.000 0.000 La

No. 6
La3BiCCl | the Alexandria database | PBE | optimized geometry; ΔE_f (raw) = -789 meV per atom; magnetization = 0.4 μB per cell; calculated volume = 352 Å³ per cell
1.0
-2.883 3.014 -1.577
-6.294 -4.203 3.476
3.055 6.470 6.779
La Bi C Cl
6 2 2 2
Direct
0.250 0.670 0.383 La
0.750 0.903 0.149 La
0.750 0.429 0.094 La
0.750 0.330 0.617 La
0.250 0.571 0.906 La
0.250 0.097 0.851 La
0.750 0.759 0.752 Bi
0.250 0.241 0.248 Bi
0.250 0.715 0.154 C
0.750 0.285 0.846 C
0.250 0.121 0.576 Cl
0.750 0.879 0.424 Cl

No. 7
BiCN2Cl | the Alexandria database | PBE | optimized geometry; ΔE_f (raw) = -69 meV per atom; magnetization = 0.0 μB per cell; calculated volume = 156 Å³ per cell
1.0
3.872 0.000 0.000
0.000 5.409 -0.021
0.000 -0.832 7.474
Bi C N Cl
2 2 4 2
Direct
0.750 0.862 0.270 Bi
0.250 0.138 0.730 Bi
0.750 0.642 0.640 C
0.250 0.358 0.360 C
0.250 0.577 0.341 N
0.250 0.132 0.390 N
0.750 0.868 0.610 N
0.750 0.423 0.659 N
0.750 0.250 0.037 Cl
0.250 0.750 0.963 Cl

No. 8
BiC2NCl | the Alexandria database | PBE | optimized geometry; ΔE_f (raw) = 3104 meV per atom; magnetization = 5.0 μB per cell; calculated volume = 122 Å³ per cell
1.0
-2.042 -1.652 3.888
1.475 -5.133 -1.406
4.035 0.518 2.339
C N Bi Cl
2 1 1 1
Direct
0.000 0.000 0.500 C
0.500 0.000 0.000 C
0.500 0.500 0.500 N
0.000 0.000 0.000 Bi
0.000 0.500 0.000 Cl